Entry 1:
Density functional theory data (meta-GGA SCAN) for FeCo4Se at its PBEsol-relaxed geometry.

POSCAR file:
```
FeCo4Se
1.0
0.000 3.311 3.311
3.311 0.000 3.311
3.311 3.311 0.000
Fe Co Se
1 4 1
direct
0.000 0.000 0.000 Fe
0.124 0.625 0.625 Co
0.625 0.124 0.625 Co
0.625 0.625 0.124 Co
0.625 0.625 0.625 Co
0.250 0.250 0.250 Se
```

The value obtained for the density of states at the Fermi level is 0.9895 states/eV/atom. The value obtained for the total magnetization is 10.15 μB/f.u. The total energy comes out at -17.534 eV/atom.


Entry 2:
Density functional theory data (meta-GGA SCAN) for Na2InCu2 at its PBEsol-relaxed geometry.

POSCAR file:
```
Na2InCu2
1.0
3.940 0.000 0.000
0.000 3.940 0.000
0.000 0.000 12.952
Na In Cu
4 2 4
direct
0.000 0.500 0.250 Na
0.000 0.500 0.750 Na
0.500 0.000 0.250 Na
0.500 0.000 0.750 Na
0.000 0.000 0.000 In
0.500 0.500 0.500 In
0.000 0.000 0.413 Cu
0.000 0.000 0.587 Cu
0.500 0.500 0.087 Cu
0.500 0.500 0.913 Cu
```

The value obtained for the density of states at the Fermi level is 0.3256 states/eV/atom. The value obtained for the total magnetization is 0.00 μB/f.u. The total energy comes out at -14.048 eV/atom.


Entry 3:
Density functional theory data (meta-GGA SCAN) for TaCrP3 at its PBEsol-relaxed geometry.

POSCAR file:
```
TaCrP3
1.0
4.741 0.000 0.000
0.000 4.741 0.000
0.000 0.000 4.741
Ta Cr P
1 1 3
direct
0.000 0.000 0.000 Ta
0.500 0.500 0.500 Cr
0.000 0.000 0.500 P
0.000 0.500 0.000 P
0.500 0.000 0.000 P
```

The value obtained for the density of states at the Fermi level is 0.6104 states/eV/atom. The value obtained for the total magnetization is 3.81 μB/f.u. The value obtained for the energy above the most stable polymorph in this dataset is 0.0 meV per atom.


Entry 4:
Density functional theory data (meta-GGA SCAN) for KTeAu2 at its PBEsol-relaxed geometry.

POSCAR file:
```
KTeAu2
1.0
2.974 0.000 0.000
0.000 4.536 0.000
0.000 0.000 8.041
K Te Au
1 1 2
direct
0.000 0.000 0.000 K
0.500 0.500 0.267 Te
0.000 0.000 0.619 Au
0.500 0.500 0.632 Au
```

The value obtained for the density of states at the Fermi level is 0.3415 states/eV/atom. The value obtained for the total magnetization is 0.00 μB/f.u. The total energy comes out at -46.189 eV/atom.


Entry 5:
Density functional theory data (meta-GGA SCAN) for CeCd20Pd2 at its PBEsol-relaxed geometry.

POSCAR file:
```
CeCd20Pd2
1.0
0.000 7.766 7.766
7.766 0.000 7.766
7.766 7.766 0.000
Ce Cd Pd
2 40 4
direct
0.125 0.125 0.125 Ce
0.875 0.875 0.875 Ce
0.000 0.000 0.000 Cd
0.000 0.000 0.500 Cd
0.000 0.500 0.000 Cd
0.057 0.323 0.323 Cd
0.057 0.323 0.798 Cd
0.057 0.798 0.323 Cd
0.202 0.677 0.677 Cd
0.202 0.677 0.943 Cd
0.202 0.943 0.677 Cd
0.237 0.237 0.513 Cd
0.237 0.513 0.237 Cd
0.237 0.513 0.513 Cd
0.323 0.057 0.323 Cd
0.323 0.057 0.798 Cd
0.323 0.323 0.057 Cd
0.323 0.323 0.798 Cd
0.323 0.798 0.057 Cd
0.323 0.798 0.323 Cd
0.487 0.487 0.763 Cd
0.487 0.763 0.487 Cd
0.487 0.763 0.763 Cd
0.500 0.000 0.000 Cd
0.513 0.237 0.237 Cd
0.513 0.237 0.513 Cd
0.513 0.513 0.237 Cd
0.677 0.202 0.677 Cd
0.677 0.202 0.943 Cd
0.677 0.677 0.202 Cd
0.677 0.677 0.943 Cd
0.677 0.943 0.202 Cd
0.677 0.943 0.677 Cd
0.763 0.487 0.487 Cd
0.763 0.487 0.763 Cd
0.763 0.763 0.487 Cd
0.798 0.057 0.323 Cd
0.798 0.323 0.057 Cd
0.798 0.323 0.323 Cd
0.943 0.202 0.677 Cd
0.943 0.677 0.202 Cd
0.943 0.677 0.677 Cd
0.000 0.500 0.500 Pd
0.500 0.000 0.500 Pd
0.500 0.500 0.000 Pd
0.500 0.500 0.500 Pd
```

The value obtained for the density of states at the Fermi level is 0.3747 states/eV/atom. The value obtained for the total magnetization is 1.16 μB/f.u. The total energy comes out at -31.436 eV/atom.


Entry 6:
Density functional theory data (meta-GGA SCAN) for Mn3CrTe at its PBEsol-relaxed geometry.

POSCAR file:
```
Mn3CrTe
1.0
4.366 0.000 0.000
0.000 4.366 0.000
0.000 0.000 4.366
Mn Cr Te
3 1 1
direct
0.000 0.000 0.500 Mn
0.000 0.500 0.000 Mn
0.500 0.000 0.000 Mn
0.000 0.000 0.000 Cr
0.500 0.500 0.500 Te
```

The value obtained for the density of states at the Fermi level is 0.3347 states/eV/atom. The value obtained for the total magnetization is 7.09 μB/f.u. The value obtained for the energy above the most stable polymorph in this dataset is 0.0 meV per atom.


Entry 7:
Density functional theory data (meta-GGA SCAN) for BaLi2CrAs at its PBEsol-relaxed geometry.

POSCAR file:
```
BaLi2CrAs
1.0
4.932 0.000 0.000
0.000 4.932 0.000
0.000 0.000 6.148
Ba Li Cr As
1 2 1 1
direct
0.000 0.000 0.000 Ba
0.000 0.500 0.500 Li
0.500 0.000 0.500 Li
0.000 0.000 0.500 Cr
0.500 0.500 0.000 As
```

The value obtained for the density of states at the Fermi level is 0.2545 states/eV/atom. The value obtained for the total magnetization is 5.12 μB/f.u. The total energy comes out at -16.210 eV/atom.


Entry 8:
Density functional theory data (meta-GGA SCAN) for AlFeRuPb2 at its PBEsol-relaxed geometry.

POSCAR file:
```
AlFeRuPb2
1.0
5.127 0.000 0.000
0.000 5.127 0.000
0.000 0.000 4.286
Al Fe Ru Pb
1 1 1 2
direct
0.000 0.000 0.000 Al
0.000 0.000 0.500 Fe
0.500 0.500 0.500 Ru
0.000 0.500 0.000 Pb
0.500 0.000 0.000 Pb
```

The value obtained for the density of states at the Fermi level is 0.7126 states/eV/atom. The value obtained for the total magnetization is 4.68 μB/f.u. The total energy comes out at -41.047 eV/atom.


Entry 9:
Density functional theory data (meta-GGA SCAN) for Mg2InBi at its PBEsol-relaxed geometry.

POSCAR file:
```
Mg2InBi
1.0
8.157 0.000 0.000
0.000 8.157 0.000
0.000 0.000 6.404
Mg In Bi
8 4 4
direct
0.248 0.750 0.125 Mg
0.250 0.248 0.875 Mg
0.250 0.252 0.375 Mg
0.252 0.750 0.625 Mg
0.748 0.250 0.625 Mg
0.750 0.748 0.375 Mg
0.750 0.752 0.875 Mg
0.752 0.250 0.125 Mg
0.000 0.000 0.500 In
0.000 0.500 0.750 In
0.500 0.000 0.250 In
0.500 0.500 0.000 In
0.000 0.000 0.000 Bi
0.000 0.500 0.250 Bi
0.500 0.000 0.750 Bi
0.500 0.500 0.500 Bi
```

The value obtained for the density of states at the Fermi level is 0.6567 states/eV/atom. The value obtained for the total magnetization is 0.00 μB/f.u. The value obtained for the energy above the most stable polymorph in this dataset is 170.7 meV per atom.


Entry 10:
Density functional theory data (meta-GGA SCAN) for BaMg2Cr at its PBEsol-relaxed geometry.

POSCAR file:
```
BaMg2Cr
1.0
4.639 0.000 0.000
0.000 4.651 0.000
0.000 0.000 5.317
Ba Mg Cr
1 2 1
direct
0.000 0.000 0.000 Ba
0.000 0.500 0.500 Mg
0.500 0.000 0.500 Mg
0.500 0.500 0.000 Cr
```

The value obtained for the density of states at the Fermi level is 0.8344 states/eV/atom. The value obtained for the total magnetization is 4.57 μB/f.u. The value obtained for the energy above the most stable polymorph in this dataset is 0.0 meV per atom.


Entry 11:
Density functional theory data (meta-GGA SCAN) for IrRh5 at its PBEsol-relaxed geometry.

POSCAR file:
```
IrRh5
1.0
2.679 0.000 0.000
0.000 2.679 0.000
0.000 0.000 11.344
Ir Rh
1 5
direct
0.000 0.000 0.000 Ir
0.000 0.000 0.335 Rh
0.000 0.000 0.665 Rh
0.500 0.500 0.167 Rh
0.500 0.500 0.500 Rh
0.500 0.500 0.833 Rh
```

The value obtained for the density of states at the Fermi level is 0.9999 states/eV/atom. The value obtained for the total magnetization is 0.00 μB/f.u. The value obtained for the energy above the most stable polymorph in this dataset is 0.0 meV per atom.


Entry 12:
Density functional theory data (meta-GGA SCAN) for In2SbTe at its PBEsol-relaxed geometry.

POSCAR file:
```
In2SbTe
1.0
3.774 0.000 0.000
0.000 5.172 0.000
0.000 0.000 10.914
In Sb Te
4 2 2
direct
0.000 0.000 0.247 In
0.000 0.000 0.753 In
0.500 0.500 0.253 In
0.500 0.500 0.747 In
0.000 0.500 0.500 Sb
0.500 0.000 0.000 Sb
0.000 0.500 0.000 Te
0.500 0.000 0.500 Te
```

The value obtained for the density of states at the Fermi level is 0.4926 states/eV/atom. The value obtained for the total magnetization is 0.00 μB/f.u. The value obtained for the energy above the most stable polymorph in this dataset is 0.0 meV per atom.


Q: Which formula does entry 8 have?
A: AlFeRuPb2